# PBE Pm2BiN, relaxed
data_Pm2BiN
_chemical_formula_sum 'Pm6 Bi3 N3'
_symmetry_space_group_name_H-M 'R -3 m'
_symmetry_Int_Tables_number 166
_symmetry_space_group_name_Hall '-R 3 2"'
_cell_length_a 3.6961
_cell_length_b 3.6961
_cell_length_c 23.9117
_cell_angle_alpha 90.00
_cell_angle_beta 90.00
_cell_angle_gamma 120.00
loop_
_atom_site_label
_atom_site_type_symbol
_atom_site_fract_x
_atom_site_fract_y
_atom_site_fract_z
_atom_site_occupancy
Pm1 Pm 0.0000 0.0000 0.2228 1
Bi1 Bi 0.0000 0.0000 0.0000 1
N1 N 0.0000 0.0000 0.5000 1
# - Relative energy among the computed polymorphs: 0.151 eV/atom
# - Total energy: -6.47 eV per atom
# - Uncorrected formation energy: -1.040 eV/atom
# - M_tot: 0.000 μB per cell
# - D(E_F): 0.6744 states/eV per atom